a | ! NdZr2 PBE-GGA optimized geometry; values from VASP
! Calculated density ... 6.905 g/cm3
&SYSTEM
  ibrav = 0, nat = 6, ntyp = 2
/
ATOMIC_SPECIES
Nd 144.24 Nd.upf
Zr 91.22 Zr.upf
CELL_PARAMETERS angstrom
1.649 -8.763 0.000
1.649 8.763 0.000
0.000 0.000 5.436
ATOMIC_POSITIONS angstrom
Nd 1.649 6.749 4.077
Nd 1.649 -6.749 1.359
Zr 1.649 4.986 1.359
Zr 1.649 0.913 4.077
Zr 1.649 -0.913 1.359
Zr 1.649 -4.986 4.077

b | ! NdZr2 PBE-GGA optimized geometry; values from VASP
! Calculated density ... 6.743 g/cm3
&SYSTEM
  ibrav = 0, nat = 6, ntyp = 2
/
ATOMIC_SPECIES
Nd 144.24 Nd.upf
Zr 91.22 Zr.upf
CELL_PARAMETERS angstrom
1.658 -9.056 0.000
1.658 9.056 0.000
0.000 0.000 5.358
ATOMIC_POSITIONS angstrom
Nd 1.658 7.973 4.019
Nd 1.658 -7.973 1.340
Zr 1.658 4.083 1.340
Zr 1.658 2.340 4.019
Zr 1.658 -2.340 1.340
Zr 1.658 -4.083 4.019

Most favorable first, least favorable last: b, a

a | ! GePdSO PBE-GGA optimized geometry; values from VASP
! Calculated density ... 5.586 g/cm3
&SYSTEM
  ibrav = 0, nat = 16, ntyp = 4
/
ATOMIC_SPECIES
Ge 72.64 Ge.upf
Pd 106.42 Pd.upf
S 32.06 S.upf
O 16.00 O.upf
CELL_PARAMETERS angstrom
5.851 0.000 0.000
0.000 8.849 0.000
0.000 0.000 5.216
ATOMIC_POSITIONS angstrom
Ge 0.479 2.023 0.000
Ge 2.447 2.023 2.608
Ge 3.404 6.826 0.000
Ge 5.373 6.826 2.608
Pd 0.018 1.331 2.259
Pd 2.908 1.331 4.868
Pd 2.943 7.518 2.259
Pd 5.834 7.518 4.868
S 0.183 3.367 3.381
S 2.743 3.367 0.773
S 3.108 5.482 3.381
S 5.668 5.482 0.773
O 0.277 8.219 1.616
O 2.649 8.219 4.224
O 3.202 0.630 1.616
O 5.574 0.630 4.224

b | ! GePdSO PBE-GGA optimized geometry; values from VASP
! Calculated density ... 4.557 g/cm3
&SYSTEM
  ibrav = 0, nat = 16, ntyp = 4
/
ATOMIC_SPECIES
Ge 72.64 Ge.upf
Pd 106.42 Pd.upf
S 32.06 S.upf
O 16.00 O.upf
CELL_PARAMETERS angstrom
5.193 0.000 0.000
0.000 7.597 0.000
0.000 0.000 8.392
ATOMIC_POSITIONS angstrom
Ge 0.617 1.586 0.952
Ge 1.980 6.011 5.148
Ge 3.213 2.213 7.440
Ge 4.576 5.384 3.244
Pd 1.244 5.534 0.166
Pd 1.352 2.063 4.362
Pd 3.840 5.861 8.226
Pd 3.949 1.735 4.030
S 0.104 3.059 2.723
S 2.492 4.538 6.919
S 2.701 0.739 5.669
S 5.089 6.857 1.473
O 0.233 5.847 4.765
O 2.364 1.750 0.569
O 2.829 5.548 3.627
O 4.960 2.049 7.823

Most favorable first, least favorable last: b, a

a | ! Cu9Ag PBE-GGA optimized geometry; values from VASP
! Calculated density ... 9.098 g/cm3
&SYSTEM
  ibrav = 0, nat = 10, ntyp = 2
/
ATOMIC_SPECIES
Cu 63.55 Cu.upf
Ag 107.87 Ag.upf
CELL_PARAMETERS angstrom
1.843 -9.132 0.000
1.843 9.132 0.000
0.000 0.000 3.686
ATOMIC_POSITIONS angstrom
Cu 0.000 0.000 0.000
Cu 1.843 7.193 1.843
Cu 1.843 5.442 0.000
Cu 1.843 3.687 1.843
Cu 1.843 1.939 0.000
Cu 1.843 -1.939 0.000
Cu 1.843 -3.687 1.843
Cu 1.843 -5.442 0.000
Cu 1.843 -7.193 1.843
Ag 1.843 0.000 1.843

b | ! Cu9Ag PBE-GGA optimized geometry; values from VASP
! Calculated density ... 9.257 g/cm3
&SYSTEM
  ibrav = 0, nat = 20, ntyp = 2
/
ATOMIC_SPECIES
Cu 63.55 Cu.upf
Ag 107.87 Ag.upf
CELL_PARAMETERS angstrom
4.461 0.000 0.000
-0.012 6.838 0.000
-1.496 -1.007 7.996
ATOMIC_POSITIONS angstrom
Cu 0.000 0.000 0.000
Cu -0.832 2.466 5.225
Cu 0.025 5.836 2.283
Cu -0.757 1.450 7.585
Cu -0.001 4.788 4.898
Cu 0.757 1.465 1.915
Cu -0.037 3.875 7.234
Cu 1.501 3.853 1.552
Cu 0.715 -0.525 6.852
Cu 1.477 2.915 3.998
Cu 2.238 6.356 1.144
Cu 1.453 1.978 6.445
Cu 2.990 1.956 0.762
Cu 2.196 4.366 6.081
Cu 2.954 1.043 3.098
Cu 3.710 4.381 0.411
Cu 2.928 -0.005 5.713
Cu 3.785 3.365 2.771
Ag 0.664 0.493 4.407
Ag 2.289 5.337 3.589

Most favorable first, least favorable last: a, b

a | ! Cu2Ag3 PBE-GGA optimized geometry; values from VASP
! Calculated density ... 9.592 g/cm3
&SYSTEM
  ibrav = 0, nat = 10, ntyp = 2
/
ATOMIC_SPECIES
Cu 63.55 Cu.upf
Ag 107.87 Ag.upf
CELL_PARAMETERS angstrom
2.852 0.000 0.000
0.000 3.682 0.000
0.000 0.000 14.861
ATOMIC_POSITIONS angstrom
Cu 0.000 0.000 1.419
Cu 0.000 0.000 13.441
Cu 1.426 1.841 2.663
Cu 1.426 1.841 12.198
Ag 0.000 0.000 4.088
Ag 0.000 0.000 7.430
Ag 0.000 0.000 10.773
Ag 1.426 1.841 0.000
Ag 1.426 1.841 5.757
Ag 1.426 1.841 9.104

b | ! Cu2Ag3 PBE-GGA optimized geometry; values from VASP
! Calculated density ... 9.590 g/cm3
&SYSTEM
  ibrav = 0, nat = 10, ntyp = 2
/
ATOMIC_SPECIES
Cu 63.55 Cu.upf
Ag 107.87 Ag.upf
CELL_PARAMETERS angstrom
4.478 -1.956 0.000
4.478 1.956 0.000
-0.012 0.000 8.911
ATOMIC_POSITIONS angstrom
Cu 1.392 0.000 4.051
Cu 2.287 0.000 6.504
Cu 6.657 0.000 2.407
Cu 7.552 0.000 4.861
Ag 0.479 0.000 1.463
Ag 3.122 0.000 0.476
Ag 3.944 0.000 3.196
Ag 5.000 0.000 5.715
Ag 5.823 0.000 8.436
Ag 8.466 0.000 7.449

c | ! Cu2Ag3 PBE-GGA optimized geometry; values from VASP
! Calculated density ... 9.605 g/cm3
&SYSTEM
  ibrav = 0, nat = 10, ntyp = 2
/
ATOMIC_SPECIES
Cu 63.55 Cu.upf
Ag 107.87 Ag.upf
CELL_PARAMETERS angstrom
4.492 -1.948 0.000
4.492 1.948 0.000
-0.069 0.000 8.907
ATOMIC_POSITIONS angstrom
Cu 0.000 0.000 0.000
Cu 5.290 0.000 1.601
Cu 7.093 0.000 5.098
Cu 8.037 0.000 2.443
Ag 0.808 0.000 6.044
Ag 1.694 0.000 3.328
Ag 2.712 0.000 0.782
Ag 3.479 0.000 6.960
Ag 4.340 0.000 4.194
Ag 6.141 0.000 7.938

Most favorable first, least favorable last: a, b, c

a | ! Cu2Ag3 PBE-GGA optimized geometry; values from VASP
! Calculated density ... 9.631 g/cm3
&SYSTEM
  ibrav = 0, nat = 10, ntyp = 2
/
ATOMIC_SPECIES
Cu 63.55 Cu.upf
Ag 107.87 Ag.upf
CELL_PARAMETERS angstrom
6.872 0.000 0.000
0.000 2.844 0.000
-1.956 0.000 7.953
ATOMIC_POSITIONS angstrom
Cu 0.000 0.000 0.000
Cu 0.160 1.422 2.110
Cu 2.668 1.422 3.901
Cu 4.801 1.422 0.665
Ag 0.442 0.000 4.467
Ag 0.323 1.422 7.118
Ag 2.412 0.000 1.604
Ag 2.660 0.000 6.305
Ag 4.865 0.000 2.971
Ag 4.954 1.422 5.491

b | ! Cu2Ag3 PBE-GGA optimized geometry; values from VASP
! Calculated density ... 9.603 g/cm3
&SYSTEM
  ibrav = 0, nat = 10, ntyp = 2
/
ATOMIC_SPECIES
Cu 63.55 Cu.upf
Ag 107.87 Ag.upf
CELL_PARAMETERS angstrom
7.265 -1.926 0.000
7.265 1.926 0.000
-1.224 0.000 5.571
ATOMIC_POSITIONS angstrom
Cu 0.000 0.000 0.000
Cu -0.612 0.000 2.785
Cu 2.796 0.000 0.526
Cu 10.509 0.000 5.045
Ag 2.192 0.000 3.407
Ag 5.568 0.000 1.065
Ag 5.008 0.000 3.923
Ag 8.297 0.000 1.647
Ag 7.737 0.000 4.506
Ag 11.113 0.000 2.164

c | ! Cu2Ag3 PBE-GGA optimized geometry; values from VASP
! Calculated density ... 9.547 g/cm3
&SYSTEM
  ibrav = 0, nat = 10, ntyp = 2
/
ATOMIC_SPECIES
Cu 63.55 Cu.upf
Ag 107.87 Ag.upf
CELL_PARAMETERS angstrom
2.442 -7.083 0.000
2.442 7.083 0.000
-1.593 0.000 4.531
ATOMIC_POSITIONS angstrom
Cu 2.442 5.592 0.000
Cu 2.442 2.910 0.000
Cu 2.442 -2.910 0.000
Cu 2.442 -5.592 0.000
Ag -0.796 0.000 2.266
Ag 1.646 4.266 2.266
Ag 1.646 1.465 2.266
Ag 2.442 0.000 0.000
Ag 1.646 -1.465 2.266
Ag 1.646 -4.266 2.266

d | ! Cu2Ag3 PBE-GGA optimized geometry; values from VASP
! Calculated density ... 9.600 g/cm3
&SYSTEM
  ibrav = 0, nat = 10, ntyp = 2
/
ATOMIC_SPECIES
Cu 63.55 Cu.upf
Ag 107.87 Ag.upf
CELL_PARAMETERS angstrom
5.928 -1.424 0.000
5.928 1.424 0.000
-1.534 0.000 9.232
ATOMIC_POSITIONS angstrom
Cu 1.233 0.000 4.154
Cu 1.832 0.000 6.745
Cu 8.491 0.000 2.486
Cu 9.090 0.000 5.078
Ag 0.494 0.000 1.469
Ag 4.027 0.000 0.586
Ag 4.735 0.000 3.322
Ag 5.588 0.000 5.910
Ag 6.296 0.000 8.646
Ag 9.829 0.000 7.763

Most favorable first, least favorable last: d, a, b, c

a | ! Cu2Ag3 PBE-GGA optimized geometry; values from VASP
! Calculated density ... 9.619 g/cm3
&SYSTEM
  ibrav = 0, nat = 10, ntyp = 2
/
ATOMIC_SPECIES
Cu 63.55 Cu.upf
Ag 107.87 Ag.upf
CELL_PARAMETERS angstrom
4.879 0.000 0.000
0.000 2.828 0.000
-1.593 0.000 11.279
ATOMIC_POSITIONS angstrom
Cu 0.412 0.707 2.089
Cu 1.076 2.121 0.062
Cu 2.211 0.707 11.216
Cu 2.875 2.121 9.189
Ag -0.380 2.121 4.383
Ag 0.430 0.707 9.254
Ag 1.243 2.121 6.857
Ag 2.043 0.707 4.422
Ag 2.856 2.121 2.025
Ag 3.667 0.707 6.895

b | ! Cu2Ag3 PBE-GGA optimized geometry; values from VASP
! Calculated density ... 9.605 g/cm3
&SYSTEM
  ibrav = 0, nat = 10, ntyp = 2
/
ATOMIC_SPECIES
Cu 63.55 Cu.upf
Ag 107.87 Ag.upf
CELL_PARAMETERS angstrom
4.447 -1.977 0.000
4.447 1.977 0.000
-0.035 0.000 8.861
ATOMIC_POSITIONS angstrom
Cu 0.000 0.000 0.000
Cu 0.832 0.000 6.215
Cu 2.671 0.000 0.859
Cu 4.457 0.000 4.500
Ag 1.740 0.000 3.603
Ag 3.583 0.000 7.126
Ag 5.293 0.000 1.730
Ag 6.209 0.000 8.023
Ag 7.104 0.000 5.346
Ag 7.984 0.000 2.614

c | ! Cu2Ag3 PBE-GGA optimized geometry; values from VASP
! Calculated density ... 9.652 g/cm3
&SYSTEM
  ibrav = 0, nat = 10, ntyp = 2
/
ATOMIC_SPECIES
Cu 63.55 Cu.upf
Ag 107.87 Ag.upf
CELL_PARAMETERS angstrom
4.762 -1.434 0.000
4.762 1.434 0.000
-1.648 0.000 11.358
ATOMIC_POSITIONS angstrom
Cu 1.569 0.000 0.660
Cu 0.981 0.000 8.695
Cu 6.895 0.000 2.663
Cu 6.308 0.000 10.698
Ag 0.067 0.000 3.804
Ag 2.639 0.000 4.994
Ag 4.170 0.000 1.428
Ag 3.707 0.000 9.929
Ag 5.238 0.000 6.363
Ag 7.810 0.000 7.553

Most favorable first, least favorable last: c, a, b

a | ! HfNiBPt PBE-GGA optimized geometry; values from VASP
! Calculated density ... 13.121 g/cm3
&SYSTEM
  ibrav = 0, nat = 4, ntyp = 4
/
ATOMIC_SPECIES
Hf 178.49 Hf.upf
Ni 58.69 Ni.upf
B 10.81 B.upf
Pt 195.08 Pt.upf
CELL_PARAMETERS angstrom
0.000 3.038 3.038
3.038 0.000 3.038
3.038 3.038 0.000
ATOMIC_POSITIONS angstrom
Hf 0.000 0.000 0.000
Ni 3.038 3.038 3.038
B 1.519 1.519 1.519
Pt 4.557 4.557 4.557

b | ! HfNiBPt PBE-GGA optimized geometry; values from VASP
! Calculated density ... 13.383 g/cm3
&SYSTEM
  ibrav = 0, nat = 4, ntyp = 4
/
ATOMIC_SPECIES
Hf 178.49 Hf.upf
Ni 58.69 Ni.upf
B 10.81 B.upf
Pt 195.08 Pt.upf
CELL_PARAMETERS angstrom
0.000 3.018 3.018
3.018 0.000 3.018
3.018 3.018 0.000
ATOMIC_POSITIONS angstrom
Hf 0.000 0.000 0.000
Ni 4.527 4.527 4.527
B 3.018 3.018 3.018
Pt 1.509 1.509 1.509

Most favorable first, least favorable last: b, a

a | ! MgTaCdIr PBE-GGA optimized geometry; values from VASP
! Calculated density ... 12.318 g/cm3
&SYSTEM
  ibrav = 0, nat = 4, ntyp = 4
/
ATOMIC_SPECIES
Mg 24.30 Mg.upf
Ta 180.95 Ta.upf
Cd 112.41 Cd.upf
Ir 192.22 Ir.upf
CELL_PARAMETERS angstrom
0.000 3.251 3.251
3.251 0.000 3.251
3.251 3.251 0.000
ATOMIC_POSITIONS angstrom
Mg 0.000 0.000 0.000
Ta 3.251 3.251 3.251
Cd 1.626 1.626 1.626
Ir 4.877 4.877 4.877

b | ! MgTaCdIr PBE-GGA optimized geometry; values from VASP
! Calculated density ... 12.367 g/cm3
&SYSTEM
  ibrav = 0, nat = 4, ntyp = 4
/
ATOMIC_SPECIES
Mg 24.30 Mg.upf
Ta 180.95 Ta.upf
Cd 112.41 Cd.upf
Ir 192.22 Ir.upf
CELL_PARAMETERS angstrom
0.000 3.247 3.247
3.247 0.000 3.247
3.247 3.247 0.000
ATOMIC_POSITIONS angstrom
Mg 0.000 0.000 0.000
Ta 1.623 1.623 1.623
Cd 3.247 3.247 3.247
Ir 4.870 4.870 4.870

Most favorable first, least favorable last: a, b

a | ! Gd2MgCd PBE-GGA optimized geometry; values from VASP
! Calculated density ... 6.989 g/cm3
&SYSTEM
  ibrav = 0, nat = 8, ntyp = 3
/
ATOMIC_SPECIES
Gd 157.25 Gd.upf
Mg 24.30 Mg.upf
Cd 112.41 Cd.upf
CELL_PARAMETERS angstrom
5.363 0.000 0.000
0.000 6.039 3.310
0.000 -6.039 3.310
ATOMIC_POSITIONS angstrom
Gd 1.341 -5.138 3.310
Gd 1.341 -2.131 1.867
Gd 4.022 2.131 1.867
Gd 4.022 5.138 3.310
Mg 1.341 0.901 3.388
Mg 4.022 -0.901 3.388
Cd 1.341 -2.066 5.098
Cd 4.022 2.066 5.098

b | ! Gd2MgCd PBE-GGA optimized geometry; values from VASP
! Calculated density ... 6.931 g/cm3
&SYSTEM
  ibrav = 0, nat = 4, ntyp = 3
/
ATOMIC_SPECIES
Gd 157.25 Gd.upf
Mg 24.30 Mg.upf
Cd 112.41 Cd.upf
CELL_PARAMETERS angstrom
5.308 0.000 0.000
0.000 5.308 0.000
0.000 0.000 3.836
ATOMIC_POSITIONS angstrom
Gd 0.000 2.654 0.000
Gd 2.654 0.000 0.000
Mg 0.000 0.000 1.918
Cd 2.654 2.654 1.918

Most favorable first, least favorable last: b, a